## Ac5Os2Pd (PBE)

Data for crystalline Ac5Os2Pd at its relaxed geometry.

The structure in POSCAR format:
```
Ac5Os2Pd
1.0
7.4581 -0.0193 -3.5056
-1.6321 7.2698 -3.5208
-0.2027 -0.2295 9.2672
Ac Os Pd
10 4 2
direct
0.2988 0.7986 0.2698
0.7012 0.2014 0.7302
0.5000 0.5000 0.0000
0.2013 0.0288 0.7302
0.4712 0.2986 0.2698
0.5288 0.7014 0.7302
0.0288 0.5288 0.7302
0.0000 0.0000 0.0000
0.7987 0.9712 0.2698
0.9712 0.4712 0.2698
0.8662 0.6338 0.0000
0.3662 0.8661 0.0000
0.1338 0.3662 0.0000
0.6338 0.1339 0.0000
0.7500 0.7496 0.5000
0.2500 0.2504 0.5000
```

Summary:
ρ (g cm⁻³): 11.00
Symmetry: No. 15
Energy of formation (eV per atom): -0.2091

## Ac3OsPd (PBE)

Data for crystalline Ac3OsPd at its relaxed geometry.

The structure in POSCAR format:
```
Ac3OsPd
1.0
-1.8546 -5.5281 -5.1274
7.1119 2.5239 -5.2935
3.0590 -6.5788 5.9865
Ac Os Pd
12 4 4
direct
0.6943 0.5140 0.8445
0.1943 0.9860 0.1555
0.5155 0.7125 0.5411
0.6622 0.8928 0.2150
0.3378 0.1072 0.7850
0.8057 0.0140 0.8445
0.9845 0.2125 0.5411
0.0155 0.7875 0.4589
0.4845 0.2875 0.4589
0.8378 0.3928 0.2150
0.1622 0.6072 0.7850
0.3057 0.4860 0.1555
0.6688 0.0136 0.5452
0.1688 0.4864 0.4548
0.8312 0.5136 0.5452
0.3312 0.9864 0.4548
0.5271 0.1722 0.0962
0.9729 0.6722 0.0962
0.4729 0.8278 0.9038
0.0271 0.3278 0.9038
```

Summary:
ρ (g cm⁻³): 10.13
Symmetry: No. 14
Energy of formation (eV per atom): -0.3092

## Ac7OsPd4 (PBE)

Data for crystalline Ac7OsPd4 at its relaxed geometry.

The structure in POSCAR format:
```
Ac7OsPd4
1.0
4.3526 0.0000 0.0000
-2.1763 6.9504 -1.9134
0.0000 -0.0744 13.2347
Pd Ac Os
4 7 1
direct
0.6961 0.3921 0.8227
0.9973 0.9947 0.9995
0.1152 0.2304 0.4237
0.3027 0.6054 0.1792
0.4966 0.9931 0.5054
0.7450 0.4900 0.3649
0.0328 0.0655 0.7780
0.2709 0.5419 0.6365
0.3425 0.6849 0.9486
0.9611 0.9222 0.2173
0.6519 0.3039 0.0508
0.8880 0.7760 0.5734
```

Summary:
ρ (g cm⁻³): 9.16
Symmetry: No. 8
Energy of formation (eV per atom): -0.5299